Record 1
Computed, not measured: BaAl2Tc after structural relaxation at the PBE level of DFT.

Cell lengths 3.259, 3.259, 8.033 Å; angles 90.00, 90.00, 90.00 degrees
Element x y z (fractional)
Ba: 0.000 0.000 0.000
Al: 0.500 0.500 0.337
Al: 0.500 0.500 0.663
Tc: 0.000 0.000 0.500

Energy above the most stable polymorph in this dataset = 0 meV per atom
Formation energy from the elements = -0.079 eV per atom

***

Record 2
Computed, not measured: BaAlTc2 after structural relaxation at the PBE level of DFT.

Cell lengths 4.689, 4.689, 3.384 Å; angles 90.00, 90.00, 90.00 degrees
Element x y z (fractional)
Ba: 0.000 0.000 0.000
Al: 0.500 0.500 0.000
Tc: 0.000 0.500 0.500
Tc: 0.500 0.000 0.500

Formation energy from the elements = 0.991 eV per atom

***

Record 3
Computed, not measured: BaAl3Tc after structural relaxation at the PBE level of DFT.

Cell lengths 12.599, 12.599, 12.599 Å; angles 157.90, 157.90, 31.45 degrees
Element x y z (fractional)
Ba: 0.000 0.000 0.000
Ba: 0.750 0.250 0.500
Al: 0.342 0.342 0.000
Al: 0.377 0.134 0.243
Al: 0.658 0.658 0.000
Al: 0.866 0.109 0.243
Al: 0.866 0.623 0.757
Al: 0.891 0.134 0.757
Tc: 0.201 0.701 0.500
Tc: 0.299 0.799 0.500

Energy above the most stable polymorph in this dataset = 664 meV per atom
Formation energy from the elements = 0.346 eV per atom

***

Record 4
Computed, not measured: BaAl3Tc after structural relaxation at the PBE level of DFT.

Cell lengths 9.252, 9.252, 4.953 Å; angles 90.00, 90.00, 148.07 degrees
Element x y z (fractional)
Ba: 0.199 0.801 0.750
Ba: 0.801 0.199 0.250
Al: 0.000 0.000 0.000
Al: 0.000 0.000 0.500
Al: 0.163 0.368 0.750
Al: 0.368 0.163 0.250
Al: 0.632 0.837 0.750
Al: 0.837 0.632 0.250
Tc: 0.460 0.540 0.250
Tc: 0.540 0.460 0.750

Energy above the most stable polymorph in this dataset = 295 meV per atom
Formation energy from the elements = -0.023 eV per atom

***

Record 5
Computed, not measured: BaAlTc2 after structural relaxation at the PBE level of DFT.

Cell lengths 6.043, 6.043, 6.043 Å; angles 152.98, 125.36, 61.99 degrees
Element x y z (fractional)
Ba: 0.000 0.000 0.000
Al: 0.500 0.500 0.000
Tc: 0.289 0.789 0.500
Tc: 0.711 0.211 0.500

Formation energy from the elements = 0.853 eV per atom

***

Record 6
Computed, not measured: BaAl3Tc after structural relaxation at the PBE level of DFT.

Cell lengths 8.037, 8.037, 7.450 Å; angles 105.72, 105.72, 75.40 degrees
Element x y z (fractional)
Ba: 0.120 0.880 0.750
Ba: 0.242 0.758 0.250
Ba: 0.758 0.242 0.750
Ba: 0.880 0.120 0.250
Al: 0.151 0.308 0.105
Al: 0.166 0.444 0.473
Al: 0.308 0.151 0.605
Al: 0.365 0.495 0.853
Al: 0.444 0.166 0.973
Al: 0.495 0.365 0.353
Al: 0.505 0.635 0.647
Al: 0.556 0.834 0.027
Al: 0.635 0.505 0.147
Al: 0.692 0.849 0.395
Al: 0.834 0.556 0.527
Al: 0.849 0.692 0.895
Tc: 0.083 0.409 0.786
Tc: 0.409 0.083 0.286
Tc: 0.591 0.917 0.714
Tc: 0.917 0.591 0.214

Energy above the most stable polymorph in this dataset = 205 meV per atom
Formation energy from the elements = -0.112 eV per atom

***

Record 7
Computed, not measured: BaAl3Tc after structural relaxation at the PBE level of DFT.

Cell lengths 3.576, 8.021, 8.021 Å; angles 39.33, 90.00, 90.00 degrees
Element x y z (fractional)
Ba: 0.000 0.000 0.000
Al: 0.000 0.443 0.963
Al: 0.000 0.963 0.443
Al: 0.500 0.802 0.802
Tc: 0.500 0.631 0.631

Energy above the most stable polymorph in this dataset = 705 meV per atom
Formation energy from the elements = 0.388 eV per atom

***

Record 8
Computed, not measured: BaAl2Tc after structural relaxation at the PBE level of DFT.

Cell lengths 9.867, 9.867, 9.867 Å; angles 18.77, 18.77, 18.77 degrees
Element x y z (fractional)
Ba: 0.000 0.000 0.000
Al: 0.229 0.229 0.229
Al: 0.771 0.771 0.771
Tc: 0.500 0.500 0.500

Energy above the most stable polymorph in this dataset = 369 meV per atom
Formation energy from the elements = 0.290 eV per atom

***

Record 9
Computed, not measured: BaAl3Tc after structural relaxation at the PBE level of DFT.

Cell lengths 9.737, 5.363, 9.006 Å; angles 90.00, 98.22, 90.00 degrees
Element x y z (fractional)
Ba: 0.123 0.001 0.193
Ba: 0.123 0.499 0.693
Ba: 0.877 0.501 0.307
Ba: 0.877 0.999 0.807
Al: 0.275 0.501 0.385
Al: 0.275 0.999 0.885
Al: 0.276 0.501 0.051
Al: 0.276 0.999 0.551
Al: 0.478 0.000 0.246
Al: 0.478 0.500 0.746
Al: 0.522 0.000 0.754
Al: 0.522 0.500 0.254
Al: 0.724 0.001 0.449
Al: 0.724 0.499 0.949
Al: 0.725 0.001 0.115
Al: 0.725 0.499 0.615
Tc: 0.500 0.250 0.000
Tc: 0.500 0.250 0.500
Tc: 0.500 0.750 0.000
Tc: 0.500 0.750 0.500

Energy above the most stable polymorph in this dataset = 93 meV per atom
Formation energy from the elements = -0.225 eV per atom

***

Record 10
Computed, not measured: BaAl2Tc after structural relaxation at the PBE level of DFT.

Cell lengths 6.545, 6.545, 6.545 Å; angles 39.19, 39.19, 39.19 degrees
Element x y z (fractional)
Ba: 0.000 0.000 0.000
Al: 0.194 0.194 0.194
Al: 0.806 0.806 0.806
Tc: 0.500 0.500 0.500

Energy above the most stable polymorph in this dataset = 40 meV per atom
Formation energy from the elements = -0.039 eV per atom

***

Record 11
Computed, not measured: BaAl3Tc after structural relaxation at the PBE level of DFT.

Cell lengths 8.823, 8.823, 8.823 Å; angles 35.70, 35.70, 35.70 degrees
Element x y z (fractional)
Ba: 0.163 0.163 0.163
Ba: 0.837 0.837 0.837
Al: 0.129 0.129 0.613
Al: 0.129 0.613 0.129
Al: 0.387 0.871 0.871
Al: 0.613 0.129 0.129
Al: 0.871 0.387 0.871
Al: 0.871 0.871 0.387
Tc: 0.391 0.391 0.391
Tc: 0.609 0.609 0.609

Energy above the most stable polymorph in this dataset = 299 meV per atom
Formation energy from the elements = -0.018 eV per atom

***

Record 12
Computed, not measured: BaAl2Tc after structural relaxation at the PBE level of DFT.

Cell lengths 6.548, 6.548, 6.548 Å; angles 39.65, 39.65, 39.65 degrees
Element x y z (fractional)
Ba: 0.000 0.000 0.000
Al: 0.185 0.185 0.185
Al: 0.485 0.485 0.485
Tc: 0.812 0.812 0.812

Energy above the most stable polymorph in this dataset = 68 meV per atom
Formation energy from the elements = -0.010 eV per atom

***

Record 13
Computed, not measured: BaAlTc2 after structural relaxation at the PBE level of DFT.

Cell lengths 3.182, 3.182, 8.137 Å; angles 90.00, 90.00, 90.00 degrees
Element x y z (fractional)
Ba: 0.000 0.000 0.000
Al: 0.500 0.500 0.669
Tc: 0.000 0.000 0.482
Tc: 0.500 0.500 0.325

Formation energy from the elements = 0.205 eV per atom

***

Record 14
Computed, not measured: BaAl3Tc after structural relaxation at the PBE level of DFT.

Cell lengths 8.844, 8.844, 8.844 Å; angles 151.47, 55.40, 133.57 degrees
Element x y z (fractional)
Ba: 0.204 0.000 0.204
Ba: 0.796 0.000 0.796
Al: 0.217 0.808 0.409
Al: 0.399 0.808 0.591
Al: 0.422 0.528 0.894
Al: 0.634 0.528 0.106
Al: 0.821 0.821 0.000
Al: 0.994 0.494 0.500
Tc: 0.231 0.231 0.000
Tc: 0.615 0.115 0.500

Energy above the most stable polymorph in this dataset = 116 meV per atom
Formation energy from the elements = -0.201 eV per atom

***

Record 15
Computed, not measured: BaAl3Tc after structural relaxation at the PBE level of DFT.

Cell lengths 5.060, 4.344, 10.845 Å; angles 90.00, 93.91, 90.00 degrees
Element x y z (fractional)
Ba: 0.245 0.250 0.136
Ba: 0.755 0.750 0.864
Al: 0.143 0.250 0.466
Al: 0.174 0.250 0.722
Al: 0.358 0.750 0.364
Al: 0.642 0.250 0.636
Al: 0.826 0.750 0.278
Al: 0.857 0.750 0.534
Tc: 0.369 0.750 0.600
Tc: 0.631 0.250 0.400

Energy above the most stable polymorph in this dataset = 82 meV per atom
Formation energy from the elements = -0.236 eV per atom

***

Record 16
Computed, not measured: BaAlTc3 after structural relaxation at the PBE level of DFT.

Cell lengths 4.780, 4.780, 4.780 Å; angles 90.00, 90.00, 90.00 degrees
Element x y z (fractional)
Ba: 0.000 0.000 0.000
Al: 0.500 0.500 0.500
Tc: 0.000 0.500 0.500
Tc: 0.500 0.000 0.500
Tc: 0.500 0.500 0.000

Energy above the most stable polymorph in this dataset = 0 meV per atom
Formation energy from the elements = 1.242 eV per atom

***

Record 17
Computed, not measured: BaAl2TlTc after structural relaxation at the PBE level of DFT.

Cell lengths 4.945, 4.945, 5.333 Å; angles 90.00, 90.00, 90.00 degrees
Element x y z (fractional)
Ba: 0.000 0.000 0.000
Al: 0.000 0.500 0.500
Al: 0.500 0.000 0.500
Tl: 0.500 0.500 0.000
Tc: 0.500 0.500 0.500

Formation energy from the elements = -0.173 eV per atom

***

Record 18
Computed, not measured: BaAl2TcW after structural relaxation at the PBE level of DFT.

Cell lengths 5.189, 5.189, 4.908 Å; angles 90.00, 90.00, 90.00 degrees
Element x y z (fractional)
Ba: 0.000 0.000 0.000
Al: 0.000 0.500 0.000
Al: 0.500 0.000 0.000
Tc: 0.000 0.000 0.500
W: 0.500 0.500 0.500

Formation energy from the elements = 3.005 eV per atom

***

Record 19
Computed, not measured: BaAlTe2 after structural relaxation at the PBE level of DFT.

Cell lengths 8.358, 8.358, 8.358 Å; angles 30.80, 30.80, 30.80 degrees
Element x y z (fractional)
Ba: 0.000 0.000 0.000
Al: 0.500 0.500 0.500
Te: 0.234 0.234 0.234
Te: 0.766 0.766 0.766

***

Record 20
Computed, not measured: BaAl2Te2 after structural relaxation at the PBE level of DFT.

Cell lengths 6.169, 6.169, 6.169 Å; angles 125.41, 125.41, 80.85 degrees
Element x y z (fractional)
Ba: 0.000 0.000 0.000
Al: 0.354 0.354 0.000
Al: 0.646 0.646 0.000
Te: 0.250 0.750 0.500
Te: 0.750 0.250 0.500

Energy above the most stable polymorph in this dataset = 0 meV per atom

***

Record 21
Computed, not measured: BaAlTe after structural relaxation at the PBE level of DFT.

Cell lengths 6.614, 6.611, 3.998 Å; angles 72.45, 72.36, 35.19 degrees
Element x y z (fractional)
Ba: 0.000 0.000 0.000
Al: 0.703 0.703 0.297
Te: 0.299 0.299 0.701

Energy above the most stable polymorph in this dataset = 79 meV per atom

***

Record 22
Computed, not measured: BaAlTe2 after structural relaxation at the PBE level of DFT.

Cell lengths 4.439, 4.439, 7.677 Å; angles 90.00, 90.00, 90.00 degrees
Element x y z (fractional)
Ba: 0.000 0.000 0.000
Al: 0.500 0.500 0.508
Te: 0.000 0.000 0.551
Te: 0.500 0.500 0.154

***

Record 23
Computed, not measured: BaAl4Te7 after structural relaxation at the PBE level of DFT.

Cell lengths 17.023, 7.172, 6.924 Å; angles 90.00, 90.00, 90.00 degrees
Element x y z (fractional)
Ba: 0.000 0.124 0.000
Ba: 0.500 0.876 0.500
Al: 0.121 0.663 0.702
Al: 0.249 0.175 0.686
Al: 0.251 0.825 0.186
Al: 0.379 0.337 0.202
Al: 0.621 0.337 0.202
Al: 0.749 0.825 0.186
Al: 0.751 0.175 0.686
Al: 0.879 0.663 0.702
Te: 0.000 0.849 0.563
Te: 0.113 0.314 0.585
Te: 0.114 0.696 0.080
Te: 0.244 0.183 0.077
Te: 0.256 0.817 0.577
Te: 0.386 0.304 0.580
Te: 0.387 0.686 0.085
Te: 0.500 0.151 0.063
Te: 0.613 0.686 0.085
Te: 0.614 0.304 0.580
Te: 0.744 0.817 0.577
Te: 0.756 0.183 0.077
Te: 0.886 0.696 0.080
Te: 0.887 0.314 0.585

***

Record 24
Computed, not measured: BaAlTe after structural relaxation at the PBE level of DFT.

Cell lengths 5.594, 5.594, 5.594 Å; angles 60.00, 60.00, 60.00 degrees
Element x y z (fractional)
Ba: 0.000 0.000 0.000
Al: 0.500 0.500 0.500
Te: 0.750 0.750 0.750

Energy above the most stable polymorph in this dataset = 219 meV per atom

***

Record 25
Computed, not measured: BaAlTe2 after structural relaxation at the PBE level of DFT.

Cell lengths 4.386, 4.386, 6.815 Å; angles 90.00, 90.00, 90.00 degrees
Element x y z (fractional)
Ba: 0.000 0.000 0.000
Al: 0.000 0.000 0.500
Te: 0.500 0.500 0.266
Te: 0.500 0.500 0.734

***

Number 1: uncorrected energy -20.09 eV for the cell shown, total magnetic moment 0.001 μB/f.u.. Number 2: uncorrected energy -22.43 eV for the cell shown, total magnetic moment 0.004 μB/f.u.. Number 3: uncorrected energy -43.57 eV for the cell shown, total magnetic moment 0.000 μB/f.u.. Number 4: uncorrected energy -47.26 eV for the cell shown, total magnetic moment 0.000 μB/f.u.. Number 5: uncorrected energy -22.99 eV for the cell shown, total magnetic moment 0.002 μB/f.u.. Number 6: uncorrected energy -96.31 eV for the cell shown, total magnetic moment 0.000 μB/f.u.. Number 7: uncorrected energy -21.58 eV for the cell shown, total magnetic moment 0.000 μB/f.u.. Number 8: uncorrected energy -18.61 eV for the cell shown, total magnetic moment 0.001 μB/f.u.. Number 9: uncorrected energy -98.56 eV for the cell shown, total magnetic moment 0.000 μB/f.u.. Number 10: uncorrected energy -19.93 eV for the cell shown, total magnetic moment 0.000 μB/f.u.. Number 11: uncorrected energy -47.22 eV for the cell shown, total magnetic moment 0.000 μB/f.u.. Number 12: uncorrected energy -19.82 eV for the cell shown, total magnetic moment 0.003 μB/f.u.. Number 13: uncorrected energy -25.58 eV for the cell shown, total magnetic moment 0.000 μB/f.u.. Number 14: uncorrected energy -49.04 eV for the cell shown, total magnetic moment 0.000 μB/f.u.. Number 15: uncorrected energy -49.39 eV for the cell shown, total magnetic moment 0.000 μB/f.u.. Number 16: uncorrected energy -30.55 eV for the cell shown, total magnetic moment 4.785 μB/f.u.. Number 17: uncorrected energy -23.01 eV for the cell shown, total magnetic moment 0.000 μB/f.u.. Number 18: uncorrected energy -17.70 eV for the cell shown, total magnetic moment 0.967 μB/f.u.. Number 19: uncorrected energy -15.02 eV for the cell shown, total magnetic moment 0.000 μB/f.u.. Number 20: uncorrected energy -18.39 eV for the cell shown, total magnetic moment 0.000 μB/f.u.. Number 21: uncorrected energy -10.40 eV for the cell shown, total magnetic moment 0.000 μB/f.u.. Number 22: uncorrected energy -15.06 eV for the cell shown, total magnetic moment 0.000 μB/f.u.. Number 23: uncorrected energy -93.93 eV for the cell shown, total magnetic moment 0.000 μB/f.u.. Number 24: uncorrected energy -9.98 eV for the cell shown, total magnetic moment 0.000 μB/f.u.. Number 25: uncorrected energy -14.41 eV for the cell shown, total magnetic moment 0.000 μB/f.u..